Computed, not measured: CoSeI2O after structural relaxation at the GGA+U level of DFT.

extended XYZ file:
```
5
Lattice="5.6676 0.0000 0.0000 0.0000 5.6676 0.0000 0.0000 0.0000 3.5805" Properties=species:S:1:pos:R:3 pbc="T T T"
I 0.0000 2.8338 0.0000
O 0.0000 0.0000 1.7902
Se 2.8338 2.8338 1.7902
Co 0.0000 0.0000 0.0000
I 2.8338 0.0000 0.0000
```

ΔE to the lowest computed polymorph, meV/atom: 0
DOS at the Fermi energy, states/eV/atom: 0.767
Total moment, μB per formula unit: 3.3